# Ce8InAu2

A geometry-optimized Ce8InAu2 structure (GGA-PBE, Alexandria via LeMat-Bulk).

Unit cell a=7.7736 b=7.8402 c=7.8402 alpha=49.06 beta=56.73 gamma=56.73
With the nearest neighbours (Å) after each atom.
Sites, in units of the cell vectors:
Ce (0.7833, 0.6503, 0.1481)  2 Ce 2.76-2.81
Ce (0.0947, 0.3828, 0.3828)  3 Ce 2.72-2.81
Ce (0.9053, 0.6172, 0.6172)  3 Ce 2.72-2.81
Ce (0.7833, 0.1481, 0.6503)  2 Ce 2.76-2.81
Ce (0.3487, 0.7024, 0.7024)  2 Ce 2.76, 1 Au 3.03
Ce (0.2167, 0.3497, 0.8519)  2 Ce 2.76-2.81
Ce (0.2167, 0.8519, 0.3497)  2 Ce 2.76-2.81
Ce (0.6513, 0.2977, 0.2977)  2 Ce 2.76, 1 Au 3.03
Au (0.4779, 0.8647, 0.8647)  1 In 2.98, 6 Ce 3.03-3.15
Au (0.5221, 0.1353, 0.1353)  1 In 2.98, 6 Ce 3.03-3.15
In (0.0000, 0.0000, 0.0000)  2 Au 2.98, 4 Ce 3.23

Results
magnetic moment = 0.147 μB/f.u.
ΔE to the lowest computed polymorph = 0 meV/atom
calculated formation energy = -0.22 eV per atom

# KZr2Os

A geometry-optimized KZr2Os structure (GGA-PBE, Alexandria via LeMat-Bulk).

Unit cell a=4.8943 b=4.8947 c=3.5048 alpha=90.00 beta=90.00 gamma=90.00
With the nearest neighbours (Å) after each atom.
Sites, in units of the cell vectors:
Os (0.0000, 0.5000, 0.5000)  8 Zr 3.01
Zr (0.5000, 0.5000, 0.0000)  4 Os 3.01, 4 K 3.01
Zr (0.0000, 0.0000, 0.0000)  4 K 3.01, 4 Os 3.01
K (0.5000, 0.0000, 0.5000)  8 Zr 3.01

Results
magnetic moment = 0.000 μB/f.u.
ΔE to the lowest computed polymorph = 697 meV/atom
calculated formation energy = 0.86 eV per atom

# Pm2Mg2Co15

A geometry-optimized Pm2Mg2Co15 structure (GGA-PBE, Alexandria via LeMat-Bulk).

Unit cell a=6.3836 b=6.3836 c=6.3836 alpha=83.40 beta=83.40 gamma=83.40
With the nearest neighbours (Å) after each atom.
Sites, in units of the cell vectors:
Co (0.2898, 0.0000, 0.7102)  8 Co 2.41-2.58
Co (0.5000, 0.0000, 0.0000)  8 Co 2.41-2.47, 2 Mg 2.57
Co (0.0000, 0.5000, 0.0000)  8 Co 2.41-2.47, 2 Mg 2.57
Co (0.7102, 0.2898, 0.0000)  8 Co 2.41-2.58
Co (0.0000, 0.7102, 0.2898)  8 Co 2.41-2.58
Co (0.0000, 0.0000, 0.5000)  8 Co 2.41-2.47, 2 Mg 2.57
Co (0.1551, 0.6500, 0.6500)  8 Co 2.45-2.58, 1 Mg 2.65
Co (0.3500, 0.8449, 0.3500)  8 Co 2.45-2.58, 1 Mg 2.65
Co (0.7102, 0.0000, 0.2898)  8 Co 2.41-2.58
Co (0.3500, 0.3500, 0.8449)  8 Co 2.45-2.58, 1 Mg 2.65
Co (0.6500, 0.1551, 0.6500)  8 Co 2.45-2.58, 1 Mg 2.65
Co (0.8449, 0.3500, 0.3500)  8 Co 2.45-2.58, 1 Mg 2.65
Co (0.6500, 0.6500, 0.1551)  8 Co 2.45-2.58, 1 Mg 2.65
Co (0.2898, 0.7102, 0.0000)  8 Co 2.41-2.58
Co (0.0000, 0.2898, 0.7102)  8 Co 2.41-2.58
Mg (0.1052, 0.1052, 0.1052)  12 Co 2.57-2.78, 1 Mg 2.58
Mg (0.8948, 0.8948, 0.8948)  12 Co 2.57-2.78, 1 Mg 2.58
Pm (0.3519, 0.3519, 0.3519)  15 Co 2.92-3.24, 1 Mg 3.03
Pm (0.6481, 0.6481, 0.6481)  15 Co 2.92-3.24, 1 Mg 3.03

Results
magnetic moment = 20.205 μB/f.u.
calculated formation energy = -0.04 eV per atom

# Sm3H2Se3

A geometry-optimized Sm3H2Se3 structure (GGA-PBE, Alexandria via LeMat-Bulk).

Unit cell a=3.9293 b=5.6751 c=15.6977 alpha=90.00 beta=90.00 gamma=110.25
With the nearest neighbours (Å) after each atom.
Sites, in units of the cell vectors:
Se (0.0629, 0.1258, 0.6066)  5 Sm 3.05-3.12, 4 H 3.05-3.29
Se (0.3323, 0.6645, 0.7500)  5 Sm 2.83-3.09
Se (0.6677, 0.3355, 0.2500)  5 Sm 2.83-3.09
Se (0.0629, 0.1258, 0.8934)  5 Sm 3.05-3.12, 4 H 3.05-3.29
Se (0.9371, 0.8742, 0.1066)  5 Sm 3.05-3.12, 4 H 3.05-3.29
Se (0.9371, 0.8742, 0.3934)  5 Sm 3.05-3.12, 4 H 3.05-3.29
Sm (0.6488, 0.2976, 0.4300)  3 H 2.19-2.25
Sm (0.6220, 0.2440, 0.7500)  7 Se 2.98-3.09
Sm (0.3780, 0.7560, 0.2500)  7 Se 2.98-3.09
Sm (0.6488, 0.2976, 0.0700)  3 H 2.19-2.25
Sm (0.3512, 0.7024, 0.9300)  3 H 2.19-2.25
Sm (0.3512, 0.7024, 0.5700)  3 H 2.19-2.25
H (0.2349, 0.4699, 0.0499)  3 Sm 2.19-2.25
H (0.2349, 0.4699, 0.4501)  3 Sm 2.19-2.25
H (0.7651, 0.5301, 0.9501)  3 Sm 2.19-2.25
H (0.7651, 0.5301, 0.5499)  3 Sm 2.19-2.25

Results
electronic total energy = -0.391 Ry per atom
magnetic moment = 0.000 μB/f.u.

# LiCo2Au2

A geometry-optimized LiCo2Au2 structure (GGA-PBE, Alexandria via LeMat-Bulk).

Unit cell a=7.3896 b=7.3896 c=7.3896 alpha=154.09 beta=154.09 gamma=36.97
With the nearest neighbours (Å) after each atom.
Sites, in units of the cell vectors:
Au (0.5985, 0.5985, 0.0000)  4 Co 2.69, 4 Li 2.72, 1 Au 2.76
Au (0.4015, 0.4015, 0.0000)  4 Co 2.69, 4 Li 2.72, 1 Au 2.76
Co (0.7500, 0.2500, 0.5000)  4 Co 2.34
Co (0.2500, 0.7500, 0.5000)  4 Co 2.34
Li (0.0000, 0.0000, 0.0000)  8 Au 2.72

Results
magnetic moment = 3.676 μB/f.u.
ΔE to the lowest computed polymorph = 0 meV/atom
calculated formation energy = 0.07 eV per atom

# Sr8Pt2Au

A geometry-optimized Sr8Pt2Au structure (GGA-PBE, Alexandria via LeMat-Bulk).

Unit cell a=7.4751 b=8.1740 c=8.1740 alpha=71.37 beta=76.17 gamma=76.17
With the nearest neighbours (Å) after each atom.
Sites, in units of the cell vectors:
Sr (0.7392, 0.8609, 0.8609)  1 Au 3.05, 1 Pt 3.06
Sr (0.7351, 0.3615, 0.9430)  2 Pt 3.10-3.19, 1 Au 3.10
Sr (0.2649, 0.6385, 0.0570)  2 Pt 3.10-3.19, 1 Au 3.10
Sr (0.7580, 0.4262, 0.4262)  2 Pt 3.06-3.38
Sr (0.2649, 0.0570, 0.6385)  2 Pt 3.10-3.19, 1 Au 3.10
Sr (0.2608, 0.1391, 0.1391)  1 Au 3.05, 1 Pt 3.06
Sr (0.2420, 0.5738, 0.5738)  2 Pt 3.06-3.38
Sr (0.7351, 0.9430, 0.3615)  2 Pt 3.10-3.19, 1 Au 3.10
Pt (0.5424, 0.6885, 0.6885)  7 Sr 3.06-3.38
Pt (0.4576, 0.3115, 0.3115)  7 Sr 3.06-3.38
Au (0.0000, 0.0000, 0.0000)  6 Sr 3.05-3.10

Results
magnetic moment = 0.000 μB/f.u.
calculated formation energy = -0.53 eV per atom

# Zr2Sb2Pb

A geometry-optimized Zr2Sb2Pb structure (GGA-PBE, Alexandria via LeMat-Bulk).

Unit cell a=4.1503 b=4.1503 c=8.0126 alpha=74.99 beta=74.99 gamma=90.00
With the nearest neighbours (Å) after each atom.
Sites, in units of the cell vectors:
Zr (0.6026, 0.6026, 0.7948)  4 Sb 3.02, 1 Zr 3.06, 4 Pb 3.31
Zr (0.3974, 0.3974, 0.2052)  4 Sb 3.02, 1 Zr 3.06, 4 Pb 3.31
Sb (0.2500, 0.7500, 0.5000)  4 Sb 2.93, 4 Zr 3.02
Sb (0.7500, 0.2500, 0.5000)  4 Sb 2.93, 4 Zr 3.02
Pb (0.0000, 0.0000, 0.0000)  8 Zr 3.31

Results
magnetic moment = 0.310 μB/f.u.
ΔE to the lowest computed polymorph = 256 meV/atom
E_form (uncorrected) = -0.184 eV/atom

# LaAg2

A geometry-optimized LaAg2 structure (GGA-PBE, Alexandria via LeMat-Bulk).

Unit cell a=7.5497 b=7.5497 c=5.1095 alpha=90.00 beta=90.00 gamma=120.00
With the nearest neighbours (Å) after each atom.
Sites, in units of the cell vectors:
La (0.6667, 0.3333, 0.0000)  3 Ag 3.02
La (0.0000, 0.0000, 0.5000)  9 Ag 3.06-3.27
La (0.3333, 0.6667, 0.0000)  3 Ag 3.02
Ag (0.4329, 0.0000, 0.5000)  2 Ag 3.00, 1 La 3.27
Ag (0.5671, 0.5671, 0.5000)  2 Ag 3.00, 1 La 3.27
Ag (0.2240, 0.0000, 0.0000)  4 Ag 2.93-3.00, 4 La 3.02-3.06
Ag (0.0000, 0.2240, 0.0000)  4 Ag 2.93-3.00, 4 La 3.02-3.06
Ag (0.7760, 0.7760, 0.0000)  4 Ag 2.93-3.00, 4 La 3.02-3.06
Ag (0.0000, 0.4329, 0.5000)  2 Ag 3.00, 1 La 3.27

Results
magnetic moment = 0.000 μB/f.u.
calculated formation energy = -0.07 eV per atom

# LaDy2Pu

A geometry-optimized LaDy2Pu structure (GGA-PBE, Alexandria via LeMat-Bulk).

Unit cell a=3.5495 b=3.5495 c=10.0878 alpha=90.00 beta=90.00 gamma=90.00
With the nearest neighbours (Å) after each atom.
Sites, in units of the cell vectors:
La (0.5000, 0.5000, 0.5000)  4 La 3.55, 8 Dy 3.66
Dy (0.0000, 0.0000, 0.7644)  4 Pu 3.46, 4 Dy 3.55, 4 La 3.66
Dy (0.0000, 0.0000, 0.2356)  4 Pu 3.46, 4 Dy 3.55, 4 La 3.66
Pu (0.5000, 0.5000, 0.0000)  8 Dy 3.46, 4 Pu 3.55

Results
magnetic moment = 6.375 μB/f.u.
ΔE to the lowest computed polymorph = 0 meV/atom
calculated formation energy = 0.11 eV per atom

# ZnNi3Pt6

A geometry-optimized ZnNi3Pt6 structure (GGA-PBE, Alexandria via LeMat-Bulk).

Unit cell a=4.4694 b=7.1905 c=9.6446 alpha=113.29 beta=90.00 gamma=90.00
With the nearest neighbours (Å) after each atom.
Sites, in units of the cell vectors:
Pt (0.7500, 0.1492, 0.7246)  4 Ni 2.60-2.78, 3 Zn 2.65-2.72, 5 Pt 2.69-2.86
Pt (0.2500, 0.2654, 0.4817)  4 Ni 2.62-2.72, 3 Zn 2.65-2.69, 5 Pt 2.69-2.86
Pt (0.7500, 0.3402, 0.3309)  5 Ni 2.61-2.70, 1 Zn 2.68, 6 Pt 2.69-2.83
Pt (0.2500, 0.1603, 0.1708)  4 Ni 2.72-2.76, 8 Pt 2.72-2.79
Pt (0.7500, 0.9265, 0.1320)  1 Zn 2.64, 4 Ni 2.67-2.74, 7 Pt 2.73-2.83
Pt (0.7500, 0.5337, 0.9286)  7 Ni 2.67-2.72, 5 Pt 2.69-2.77
Pt (0.2500, 0.4663, 0.0714)  7 Ni 2.67-2.72, 5 Pt 2.69-2.77
Pt (0.7500, 0.7346, 0.5183)  4 Ni 2.62-2.72, 3 Zn 2.65-2.69, 5 Pt 2.69-2.86
Pt (0.2500, 0.6598, 0.6691)  5 Ni 2.61-2.70, 1 Zn 2.68, 6 Pt 2.69-2.83
Pt (0.2500, 0.0735, 0.8680)  1 Zn 2.64, 4 Ni 2.67-2.74, 7 Pt 2.73-2.83
Pt (0.7500, 0.8397, 0.8292)  4 Ni 2.72-2.76, 8 Pt 2.72-2.79
Pt (0.2500, 0.8508, 0.2754)  4 Ni 2.60-2.78, 3 Zn 2.65-2.72, 5 Pt 2.69-2.86
Ni (0.7500, 0.6233, 0.2252)  8 Pt 2.61-2.70, 3 Ni 2.68-2.76, 1 Zn 2.85
Ni (0.2500, 0.3767, 0.7748)  8 Pt 2.61-2.70, 3 Ni 2.68-2.76, 1 Zn 2.85
Ni (0.2500, 0.7658, 0.9682)  11 Pt 2.68-2.78, 1 Ni 2.68
Ni (0.2500, 0.5556, 0.3675)  9 Pt 2.60-2.72, 2 Ni 2.76, 1 Zn 2.80
Ni (0.7500, 0.4444, 0.6325)  9 Pt 2.60-2.72, 2 Ni 2.76, 1 Zn 2.80
Ni (0.7500, 0.2342, 0.0318)  11 Pt 2.68-2.78, 1 Ni 2.68
Zn (0.7500, 0.0383, 0.4278)  8 Pt 2.64-2.72, 2 Zn 2.80, 2 Ni 2.80-2.85
Zn (0.2500, 0.9617, 0.5722)  8 Pt 2.64-2.72, 2 Zn 2.80, 2 Ni 2.80-2.85

Results
magnetic moment = 3.532 μB/f.u.
calculated formation energy = -0.13 eV per atom

# CsZnPt

A geometry-optimized CsZnPt structure (GGA-PBE, Alexandria via LeMat-Bulk).

Unit cell a=4.9886 b=4.9886 c=10.6654 alpha=89.32 beta=89.32 gamma=69.41
With the nearest neighbours (Å) after each atom.
Sites, in units of the cell vectors:
Cs (0.2519, 0.2519, 0.2297)  3 Zn 3.34-3.74
Cs (0.7481, 0.7481, 0.7703)  3 Zn 3.34-3.74
Pt (0.7499, 0.2501, 0.5000)  4 Zn 2.54, 1 Pt 2.84
Pt (0.2501, 0.7499, 0.5000)  4 Zn 2.54, 1 Pt 2.84
Zn (0.2492, 0.2492, 0.5426)  4 Pt 2.54
Zn (0.7508, 0.7508, 0.4574)  4 Pt 2.54

Results
magnetic moment = 0.000 μB/f.u.
ΔE to the lowest computed polymorph = 0 meV/atom
calculated formation energy = -0.31 eV per atom

# AcMg3Zn4

A geometry-optimized AcMg3Zn4 structure (GGA-PBE, Alexandria via LeMat-Bulk).

Unit cell a=4.9162 b=4.9162 c=7.7170 alpha=90.00 beta=90.00 gamma=90.00
With the nearest neighbours (Å) after each atom.
Sites, in units of the cell vectors:
Zn (0.0000, 0.5000, 0.1710)  1 Zn 2.64, 4 Mg 2.69-2.79
Zn (0.0000, 0.5000, 0.8290)  1 Zn 2.64, 4 Mg 2.69-2.79
Zn (0.5000, 0.0000, 0.8290)  1 Zn 2.64, 4 Mg 2.69-2.79
Zn (0.5000, 0.0000, 0.1710)  1 Zn 2.64, 4 Mg 2.69-2.79
Mg (0.5000, 0.5000, 0.3138)  4 Zn 2.69, 1 Mg 2.87
Mg (0.0000, 0.0000, 0.0000)  8 Zn 2.79
Mg (0.5000, 0.5000, 0.6862)  4 Zn 2.69, 1 Mg 2.87
Ac (0.0000, 0.0000, 0.5000)  8 Zn 3.53, 10 Mg 3.76-3.86

Results
magnetic moment = 0.000 μB/f.u.
calculated formation energy = -0.02 eV per atom